Entry 1:
Computed, not measured: a relaxed Pr5SbSe5 crystal at the PBE level of DFT.

Cell lengths 13.600, 6.118, 8.657 Å; angles 90.00, 108.36, 90.00 degrees
Space group C2/m (No. 12)
Unique sites:
Pr1 0.000 0.000 0.000
Pr2 0.165 0.500 0.822
Pr3 0.168 0.500 0.342
Sb1 0.000 0.500 0.000
Se1 0.000 0.500 0.500
Se2 0.165 0.000 0.333
Se3 0.172 0.000 0.840

- Raw formation energy: -1.738 eV/atom

=====

Entry 2:
Computed, not measured: a relaxed Ac2Nd2Ho crystal at the PBE level of DFT.

Cell lengths 4.943, 4.943, 16.771 Å; angles 90.00, 90.00, 90.00 degrees
Space group I4/mmm (No. 139)
Unique sites:
Ac1 0.000 0.500 0.250
Nd1 0.000 0.000 0.091
Ho1 0.000 0.000 0.500

- Energy of formation from the pure elements: 0.46 eV per atom
- Offset from the most stable computed form: 320 meV per atom

=====

Entry 3:
Computed, not measured: a relaxed LiLaDy2 crystal at the PBE level of DFT.

Cell lengths 3.699, 3.699, 8.708 Å; angles 90.00, 90.00, 90.00 degrees
Space group P4/mmm (No. 123)
Unique sites:
Li1 0.000 0.000 0.000
La1 0.000 0.000 0.500
Dy1 0.500 0.500 0.213

- Energy of formation from the pure elements: 0.09 eV per atom
- Offset from the most stable computed form: 0 meV per atom

=====

Electronic total energy, record by record: -0.43135, -0.29444, -0.28853 Ry/atom
Total moment, record by record: 0.0000, 0.0000, 0.0000 μB per atom